Entry 1:
Here is LaSiCl after structural relaxation from Alexandria via LeMat-Bulk. Energies are from PBE-GGA.

formation energy from raw total energies: -552 meV/atom
raw total energy: -4.618 eV per atom
crystal system: trigonal
mass density: 3.36 Mg/m³

a = 3.9118 Å, b = 3.9118 Å, c = 7.5416 Å
α = 90.00°, β = 90.00°, γ = 120.00°
With the nearest neighbours (Å) after each atom.
Space group P3m1 (No. 156)
One atom of each set of equivalent atoms:
La (0.0000, 0.0000, 0.0000) x1  3 Cl 2.91, 3 Si 3.07
Si (0.6667, 0.3333, 0.2757) x1  3 La 3.07
Cl (0.3333, 0.6667, 0.7567) x1  3 La 2.91

***

Entry 2:
Here is Cs2NaSe2 after structural relaxation from Alexandria via LeMat-Bulk. Energies are from PBE-GGA.

formation energy from raw total energies: -995 meV/atom
distance to the lowest polymorph of the same formula: 0 meV per atom
raw total energy: -2.994 eV per atom
crystal system: monoclinic
mass density: 3.66 Mg/m³

a = 14.4065 Å, b = 5.0162 Å, c = 12.2451 Å
α = 90.00°, β = 113.77°, γ = 90.00°
With the nearest neighbours (Å) after each atom.
Space group C2/m (No. 12)
One atom of each set of equivalent atoms:
Cs (0.0028, 0.0000, 0.1601) x4  6 Se 3.77-4.00, 1 Cs 3.89, 4 Na 3.90-4.15
Cs (0.1743, 0.0000, 0.5977) x4  5 Se 3.51-3.63
Na (0.2339, 0.5000, 0.9007) x4  3 Se 2.86-2.89
Se (0.0087, 0.5000, 0.4048) x4  1 Se 2.44
Se (0.1694, 0.5000, 0.0959) x4  3 Na 2.86-2.89

***

Entry 3:
Here is PtPbW2 after structural relaxation from Alexandria via LeMat-Bulk. Energies are from PBE-GGA.

energy of formation: 0.424 eV per atom
raw total energy: -8.490 eV per atom
crystal system: orthorhombic
mass density: 16.99 Mg/m³

a = 3.5549 Å, b = 4.6357 Å, c = 9.1306 Å
α = 90.00°, β = 90.00°, γ = 90.00°
With the nearest neighbours (Å) after each atom.
Space group Cmm2 (No. 35)
One atom of each set of equivalent atoms:
Pt (0.0000, 0.0000, 0.0000) x2  2 W 2.63, 4 Pt 2.92
Pb (0.0000, 0.5000, 0.7103) x2  4 Pb 2.92, 2 W 3.10, 2 Pt 3.19
W (0.0000, 0.0000, 0.4326) x2  6 W 2.68-2.92
W (0.0000, 0.5000, 0.2123) x2  2 Pt 2.63, 6 W 2.68-2.92

***

Entry 4:
Here is Ca2SiBPd6 after structural relaxation from Alexandria via LeMat-Bulk. Energies are from PBE-GGA.

formation energy from raw total energies: -655 meV/atom
raw total energy: -5.381 eV per atom
crystal system: monoclinic
mass density: 7.12 Mg/m³

a = 10.0792 Å, b = 5.8130 Å, c = 6.9141 Å
α = 90.00°, β = 119.30°, γ = 90.00°
With the nearest neighbours (Å) after each atom.
Space group C2/m (No. 12)
One atom of each set of equivalent atoms:
Ca (0.2198, 0.0000, 0.1627) x4  9 Pd 3.03-3.36
Si (0.0000, 0.5000, 0.0000) x2  6 Pd 2.45-2.46
B (0.0000, 0.0000, 0.5000) x2  6 Pd 2.10
Pd (0.0211, 0.2610, 0.3066) x8  1 B 2.10
Pd (0.2386, 0.0000, 0.6903) x4  1 B 2.10

***

Entry 5:
Here is Pm3Pr3NdSe8 after structural relaxation from Alexandria via LeMat-Bulk. Energies are from PBE-GGA.

formation energy from raw total energies: -1876 meV/atom
raw total energy: -5.958 eV per atom
crystal system: trigonal
mass density: 6.39 Mg/m³

a = 8.4263 Å, b = 8.4263 Å, c = 20.7127 Å
α = 90.00°, β = 90.00°, γ = 120.00°
With the nearest neighbours (Å) after each atom.
Space group R-3m (No. 166, hexagonal axes)
One atom of each set of equivalent atoms:
Pm (0.0000, 0.5000, 0.0000) x9  6 Se 2.96
Pr (0.0000, 0.5000, 0.5000) x9  6 Se 3.01
Nd (0.0000, 0.0000, 0.0000) x3  6 Se 3.02
Se (0.0000, 0.0000, 0.2519) x6  3 Pm 2.96, 3 Pr 3.01
Se (0.0064, 0.5032, 0.2503) x18  2 Pm 2.96, 2 Pr 3.01, 1 Nd 3.02

***

Entry 6:
Here is Er8P3Pb4C after structural relaxation from Alexandria via LeMat-Bulk. Energies are from PBE-GGA.

energy of formation: -0.902 eV per atom
raw total energy: -5.702 eV per atom
crystal system: trigonal
mass density: 9.40 Mg/m³

a = 7.6573 Å, b = 7.6573 Å, c = 23.7156 Å
α = 90.00°, β = 90.00°, γ = 120.00°
With the nearest neighbours (Å) after each atom.
Space group R-3m (No. 166, hexagonal axes)
One atom of each set of equivalent atoms:
Er (0.0000, 0.0000, 0.2322) x6  3 P 2.70
Er (0.0249, 0.5124, 0.2274) x18  1 C 2.50, 2 P 2.71
P (0.0000, 0.5000, 0.5000) x9  6 Er 2.70-2.71
Pb (0.0000, 0.0000, 0.0000) x3  6 Er 3.46, 6 Pb 3.83
Pb (0.0000, 0.5000, 0.0000) x9  6 Er 3.26-3.30
C (0.0000, 0.0000, 0.5000) x3  6 Er 2.50

***

Entry 7:
Here is Pr2MgAl4Zn3 after structural relaxation from Alexandria via LeMat-Bulk. Energies are from PBE-GGA.

energy of formation: -0.371 eV per atom
raw total energy: -3.366 eV per atom
crystal system: tetragonal
mass density: 4.94 Mg/m³

a = 4.3111 Å, b = 4.3111 Å, c = 11.0316 Å
α = 90.00°, β = 90.00°, γ = 90.00°
With the nearest neighbours (Å) after each atom.
Space group P-4m2 (No. 115)
One atom of each set of equivalent atoms:
Pr (0.0000, 0.5000, 0.2427) x2  6 Zn 3.29-3.56, 8 Al 3.29-3.44, 2 Mg 3.56
Mg (0.0000, 0.0000, 0.5000) x1  4 Al 2.68
Al (0.0000, 0.0000, 0.0000) x1  4 Zn 2.60
Al (0.0000, 0.5000, 0.6449) x2  3 Zn 2.47-2.68, 2 Mg 2.68
Al (0.5000, 0.5000, 0.0000) x1  4 Zn 2.60
Zn (0.0000, 0.5000, 0.8685) x2  5 Al 2.47-2.60
Zn (0.5000, 0.5000, 0.5000) x1  4 Al 2.68

***

Entry 8:
Here is Cs2AuCl2F4 after structural relaxation from Alexandria via LeMat-Bulk. Energies are from PBE-GGA.

formation energy from raw total energies: -1585 meV/atom
raw total energy: -3.381 eV per atom
crystal system: tetragonal
mass density: 4.65 Mg/m³

a = 7.2051 Å, b = 7.2051 Å, c = 8.3852 Å
α = 90.00°, β = 90.00°, γ = 90.00°
With the nearest neighbours (Å) after each atom.
Space group I4/mmm (No. 139)
One atom of each set of equivalent atoms:
Cs (0.0000, 0.5000, 0.2500) x4  8 F 3.35, 4 Cl 3.65
Au (0.0000, 0.0000, 0.0000) x2  4 F 1.98
Cl (0.0000, 0.0000, 0.3212) x4  1 Au 2.69, 1 Cl 3.00
F (0.1947, 0.1947, 0.0000) x8  1 Au 1.98

***

- The lowest mass density belongs to which entry?
  LaSiCl

***

- Which formula does entry 4 have?
  Ca2SiBPd6